No. 1
! La3TbTm7 | Alexandria via LeMat-Bulk | PBE | optimized geometry; values from VASP
&SYSTEM
  ibrav = 0, nat = 11, ntyp = 3
/
ATOMIC_SPECIES
La 138.91 La.upf
Tb 158.93 Tb.upf
Tm 168.93 Tm.upf
CELL_PARAMETERS angstrom
5.4969 0.0000 0.0000
0.0068 6.9720 0.0000
0.0032 3.2847 9.4453
ATOMIC_POSITIONS crystal
La 0.0000 0.0000 0.0000
La 0.4996 0.2824 0.5048
La 0.5004 0.7176 0.4952
Tb 0.0000 0.5000 0.0000
Tm 0.0000 0.0000 0.5000
Tm 0.9998 0.4263 0.6707
Tm 0.0002 0.5737 0.3293
Tm 0.5000 0.1478 0.2103
Tm 0.4998 0.3238 0.8647
Tm 0.5002 0.6762 0.1353
Tm 0.5000 0.8522 0.7897
! energy relative to the elements: 0.17 eV per atom
! magnetization: 0.00 μB per cell
! ΔE to the lowest computed polymorph: 0.000 eV/atom
! E: -48.89 eV per cell

No. 2
! GdPuZnOs | Alexandria via LeMat-Bulk | PBE | optimized geometry; values from VASP
&SYSTEM
  ibrav = 0, nat = 4, ntyp = 4
/
ATOMIC_SPECIES
Gd 157.25 Gd.upf
Pu 244.00 Pu.upf
Zn 65.41 Zn.upf
Os 190.23 Os.upf
CELL_PARAMETERS angstrom
0.0000 3.4803 3.4803
3.4803 0.0000 3.4803
3.4803 3.4803 0.0000
ATOMIC_POSITIONS crystal
Gd 0.0000 0.0000 0.0000
Pu 0.5000 0.5000 0.5000
Zn 0.7500 0.7500 0.7500
Os 0.2500 0.2500 0.2500
! energy relative to the elements: -0.09 eV per atom
! magnetization: 1.73 μB per cell
! E: -41.28 eV per cell

No. 3
! Na6CdI8 | Alexandria via LeMat-Bulk | PBE | optimized geometry; values from VASP
&SYSTEM
  ibrav = 0, nat = 15, ntyp = 3
/
ATOMIC_SPECIES
Na 22.99 Na.upf
Cd 112.41 Cd.upf
I 126.90 I.upf
CELL_PARAMETERS angstrom
0.0000 6.4936 6.4936
6.4936 0.0000 6.4936
6.4936 6.4936 0.0000
ATOMIC_POSITIONS crystal
Na 0.0000 0.0000 0.5000
Na 0.0000 0.5000 0.0000
Na 0.0000 0.5000 0.5000
Na 0.5000 0.0000 0.0000
Na 0.5000 0.0000 0.5000
Na 0.5000 0.5000 0.0000
Cd 0.0000 0.0000 0.0000
I 0.2356 0.2356 0.7644
I 0.2356 0.7644 0.2356
I 0.2356 0.7644 0.7644
I 0.2500 0.2500 0.2500
I 0.7500 0.7500 0.7500
I 0.7644 0.2356 0.2356
I 0.7644 0.2356 0.7644
I 0.7644 0.7644 0.2356
! magnetization: 0.00 μB per cell
! formation energy without anion corrections: -1.119 eV/atom
! E: -38.02 eV per cell

No. 4
! Dy2TmBi3 | Alexandria via LeMat-Bulk | PBE | optimized geometry; values from VASP
&SYSTEM
  ibrav = 0, nat = 6, ntyp = 3
/
ATOMIC_SPECIES
Dy 162.50 Dy.upf
Tm 168.93 Tm.upf
Bi 208.98 Bi.upf
CELL_PARAMETERS angstrom
-2.2297 3.1513 6.6899
2.2297 -3.1513 6.6899
2.2297 3.1513 -6.6899
ATOMIC_POSITIONS crystal
Dy 0.1673 0.1673 0.0000
Dy 0.8327 0.8327 0.0000
Tm 0.5000 0.5000 0.0000
Bi 0.0000 0.5000 0.5000
Bi 0.3351 0.8351 0.5000
Bi 0.6649 0.1649 0.5000
! energy relative to the elements: -0.83 eV per atom
! magnetization: 0.00 μB per cell
! E: -30.31 eV per cell

How do the records compare in N(E_F)? In the order shown, they have 1.485 2.436 0.000 0.208 states/eV per atom.